[1]
{"formula": "Ba2TmMgSe5", "functional": "PBE", "state": "optimized geometry", "cell": [[2.184, -9.306, 0.000], [2.184, 9.306, 0.000], [0.000, 0.000, 13.281]], "species": ["Ba", "Ba", "Ba", "Ba", "Tm", "Tm", "Mg", "Mg", "Se", "Se", "Se", "Se", "Se", "Se", "Se", "Se", "Se", "Se"], "fractional_positions": [[0.111, 0.889, 0.500], [0.131, 0.869, 0.126], [0.869, 0.131, 0.626], [0.889, 0.111, 0.000], [0.209, 0.791, 0.829], [0.791, 0.209, 0.329], [0.446, 0.554, 0.263], [0.554, 0.446, 0.763], [0.056, 0.944, 0.866], [0.290, 0.710, 0.468], [0.310, 0.690, 0.187], [0.357, 0.643, 0.818], [0.496, 0.504, 0.591], [0.504, 0.496, 0.091], [0.643, 0.357, 0.318], [0.690, 0.310, 0.687], [0.710, 0.290, 0.968], [0.944, 0.056, 0.366]], "energy_ev_per_atom": -4.6848, "space_group": "Cmc2_1 (36)"}

=====

[2]
{"formula": "TiTl3P", "functional": "PBE", "state": "optimized geometry", "cell": [[5.408, 0.000, 0.000], [0.000, 5.408, 0.000], [0.000, 0.000, 5.408]], "species": ["Ti", "Tl", "Tl", "Tl", "P"], "fractional_positions": [[0.000, 0.000, 0.000], [0.000, 0.000, 0.500], [0.000, 0.500, 0.000], [0.500, 0.000, 0.000], [0.500, 0.500, 0.500]], "space_group": "Pm-3m (221)", "e_form_ev_per_fu": 4.388, "relative_energy_ev_per_fu": 0.00}

=====

[3]
{"formula": "LaNi2Hg", "functional": "PBE", "state": "optimized geometry", "cell": [[3.954, 0.000, 0.000], [0.000, 1.995, 4.900], [0.000, -1.995, 4.900]], "species": ["La", "Ni", "Ni", "Hg"], "fractional_positions": [[0.000, 0.000, 0.000], [0.000, 0.278, 0.278], [0.500, 0.419, 0.419], [0.500, 0.706, 0.706]], "space_group": "Amm2 (38)", "e_form_ev_per_fu": -0.979}

=====

[4]
{"formula": "MgGaHRh2", "functional": "PBE", "state": "optimized geometry", "cell": [[4.094, 0.000, 0.000], [0.000, 4.094, 0.000], [0.000, 0.000, 3.652]], "species": ["Mg", "Ga", "H", "Rh", "Rh"], "fractional_positions": [[0.000, 0.000, 0.000], [0.500, 0.500, 0.000], [0.500, 0.500, 0.500], [0.000, 0.500, 0.500], [0.500, 0.000, 0.500]], "space_group": "P4/mmm (123)", "relative_energy_ev_per_fu": 0.70}

=====

[5]
{"formula": "FePt2Rh", "functional": "PBE", "state": "optimized geometry", "cell": [[-3.491, 3.491, 2.621], [3.491, -3.491, 2.621], [3.491, 3.491, -2.621]], "species": ["Fe", "Fe", "Pt", "Pt", "Pt", "Pt", "Rh", "Rh"], "fractional_positions": [[0.000, 0.000, 0.000], [0.750, 0.250, 0.500], [0.100, 0.625, 0.975], [0.375, 0.350, 0.475], [0.650, 0.125, 0.025], [0.875, 0.900, 0.525], [0.250, 0.750, 0.500], [0.500, 0.500, 0.000]], "space_group": "I-42d (122)", "e_form_ev_per_fu": 1.119}

=====

[6]
{"formula": "K3Np3RhS8", "functional": "PBE", "state": "optimized geometry", "cell": [[3.899, 2.251, 7.552], [-3.899, 2.251, 7.552], [0.000, -4.502, 7.552]], "species": ["K", "K", "K", "Np", "Np", "Np", "Rh", "S", "S", "S", "S", "S", "S", "S", "S"], "fractional_positions": [[0.000, 0.500, 0.500], [0.500, 0.000, 0.500], [0.500, 0.500, 0.000], [0.000, 0.000, 0.500], [0.000, 0.500, 0.000], [0.500, 0.000, 0.000], [0.500, 0.500, 0.500], [0.235, 0.235, 0.235], [0.252, 0.717, 0.717], [0.282, 0.283, 0.748], [0.282, 0.748, 0.282], [0.717, 0.252, 0.717], [0.717, 0.717, 0.252], [0.748, 0.283, 0.283], [0.765, 0.765, 0.765]], "energy_ev_per_atom": -6.6933, "space_group": "R-3m (166)"}

=====

Sequential DOS(E_F) output: 7.887, 4.672, 3.186, 1.308, 4.470, 29.253 states/eV/f.u.